Sr2ScC2 after structural relaxation. Source: the Alexandria database, functional PBE.

abc: 6.9012 6.9012 4.0767
angles: 90.00 90.00 90.00
Atoms (fractional coordinates):
Sr: 0.1473 0.3527 0.0000
Sr: 0.3527 0.8527 0.0000
Sr: 0.6473 0.1473 0.0000
Sr: 0.8527 0.6473 0.0000
Sc: 0.0000 0.0000 0.5000
Sc: 0.5000 0.5000 0.5000
C: 0.1756 0.6756 0.5000
C: 0.3244 0.1756 0.5000
C: 0.6756 0.8244 0.5000
C: 0.8244 0.3244 0.5000

Output
The distance to the lowest polymorph of the same formula is 0.0 meV/atom. As for the calculated volume: 19.42 Å³/atom. The magnetic moment is 0.00 μB/atom. The calculation puts the mass density at 4.18 g cm⁻³. As for the energy of formation from the pure elements: 0.740 eV per atom.

Tb2AgI2 after structural relaxation. Source: the Alexandria database, functional PBE.

abc: 12.2914 12.2914 12.2914
angles: 19.29 19.29 19.29
Atoms (fractional coordinates):
Tb: 0.1164 0.1164 0.1164
Tb: 0.8836 0.8836 0.8836
Ag: 0.5000 0.5000 0.5000
I: 0.2747 0.2747 0.2747
I: 0.7253 0.7253 0.7253

Output
As for the calculated volume: 35.43 Å³/atom. The magnetic moment is 0.00 μB/atom. The calculation puts the energy relative to the elements, uncorrected at -4.018 eV/f.u. The calculation puts the mass density at 6.37 g cm⁻³.